Record 1
VASP calculation (PBE) on TbThSe2 after structural relaxation.

The structure in POSCAR format:
```
TbThSe2
1.0
-3.5924 2.8323 2.2496
-3.5179 -2.2168 2.9492
0.0970 0.7010 5.0484
Se Th Tb
2 1 1
direct
0.7500 0.7500 0.7500
0.2500 0.2500 0.2500
0.5000 0.5000 0.5000
0.0000 0.0000 0.0000
```

Properties
The formation energy (no corrections) is -1.440 eV per atom. Its energy above the most stable polymorph in this dataset is 0.212 eV/atom. As for the space group: Fm-3m, No. 225.

Record 2
VASP calculation (PBE) on YNi4Ag after structural relaxation.

The structure in POSCAR format:
```
YNi4Ag
1.0
-1.4741 -1.2043 4.5696
3.3067 -1.5615 3.3365
1.2046 2.8927 3.8323
Ni Y Ag
4 1 1
direct
0.3744 0.8768 0.3744
0.8768 0.3744 0.3744
0.3744 0.3744 0.3744
0.3744 0.3744 0.8768
0.7500 0.7500 0.7500
0.0000 0.0000 0.0000
```

Properties
As for the space group: F-43m, No. 216. The energy of formation comes out at -1.68 eV/f.u.

Record 3
VASP calculation (PBE) on BiTePI2 after structural relaxation.

The structure in POSCAR format:
```
BiTePI2
1.0
-2.1231 4.0734 4.0262
-0.5771 -4.4243 4.1718
5.7830 1.0855 1.9512
P Te I Bi
1 1 2 1
direct
0.5000 0.5000 0.5000
0.0000 0.0000 0.5000
0.0000 0.5000 0.0000
0.5000 0.0000 0.0000
0.0000 0.0000 0.0000
```

Properties
The formation energy (no corrections) is 0.698 eV per atom. Its energy above the most stable polymorph in this dataset is 0.349 eV/atom. As for the space group: P4/mmm, No. 123.